[1]
First-principles (PBE) data for a relaxed BaHf3Au crystal, as listed in the Alexandria database.

```
BaHf3Au
1.0
5.228 0.000 0.000
0.000 5.228 0.000
0.000 0.000 5.228
Hf Au Ba
3 1 1
Direct
0.000 0.500 0.000
0.000 0.000 0.500
0.500 0.000 0.000
0.500 0.500 0.500
0.000 0.000 0.000
```

Values from the calculation:
The value obtained for the energy above the most stable polymorph in this dataset is 1479 meV per atom. As for the symmetry: Pm-3m, No. 221. As for the density of states at the Fermi level: 1.868 states/eV/atom. As for the crystal system: cubic. The formation energy comes out at 2.10 eV per atom.

=====

[2]
First-principles (PBE) data for a relaxed BaHf3Au crystal, as listed in the Alexandria database.

```
BaHf3Au
1.0
5.297 0.000 0.000
0.000 5.297 0.000
0.000 0.000 5.297
Hf Au Ba
3 1 1
Direct
0.000 0.500 0.000
0.000 0.000 0.500
0.500 0.000 0.000
0.000 0.000 0.000
0.500 0.500 0.500
```

Values from the calculation:
The value obtained for the energy above the most stable polymorph in this dataset is 0 meV per atom. As for the symmetry: Pm-3m, No. 221. As for the density of states at the Fermi level: 2.086 states/eV/atom. As for the crystal system: cubic. The formation energy comes out at 0.62 eV per atom.

=====

[3]
First-principles (PBE) data for a relaxed Ba2HfAu crystal, as listed in the Alexandria database.

```
Ba2HfAu
1.0
-0.726 -8.804 3.070
9.102 0.000 2.150
3.485 -3.306 5.587
Hf Au Ba
2 2 4
Direct
0.500 0.500 0.000
0.250 0.750 0.500
0.000 0.000 0.000
0.750 0.250 0.500
0.671 0.125 0.250
0.079 0.625 0.250
0.375 0.329 0.750
0.875 0.921 0.750
```

Values from the calculation:
The value obtained for the energy above the most stable polymorph in this dataset is 4 meV per atom. As for the symmetry: I-42d, No. 122. As for the density of states at the Fermi level: 1.350 states/eV/atom. As for the crystal system: tetragonal. The formation energy comes out at 0.48 eV per atom.

=====

[4]
First-principles (PBE) data for a relaxed Ba2HfAu crystal, as listed in the Alexandria database.

```
Ba2HfAu
1.0
0.000 4.073 4.073
4.073 0.000 4.073
4.073 4.073 0.000
Hf Au Ba
1 1 2
Direct
0.000 0.000 0.000
0.500 0.500 0.500
0.250 0.250 0.250
0.750 0.750 0.750
```

Values from the calculation:
The value obtained for the energy above the most stable polymorph in this dataset is 0 meV per atom. As for the symmetry: Fm-3m, No. 225. As for the density of states at the Fermi level: 1.480 states/eV/atom. As for the crystal system: cubic. The formation energy comes out at 0.47 eV per atom.

=====

Q: Which formula does entry 1 have?
A: BaHf3Au

=====

Q: Number 4 is which compound?
A: Ba2HfAu

=====

Q: Number 1 is which compound?
A: BaHf3Au